VASP calculation (PBE-GGA) on an optimized crystal structure of Li2GeCl4.

The structure in extended XYZ format:
```
7
Lattice="-2.811 2.811 5.951 2.811 -2.811 5.951 2.811 2.811 -5.951" Properties=species:S:1:pos:R:3 pbc="T T T"
Li 2.811 0.000 2.975
Li 0.000 2.811 2.975
Ge 0.000 0.000 0.000
Cl 1.392 -1.392 4.337
Cl 1.418 1.418 1.614
Cl -1.392 1.392 4.337
Cl 1.392 1.392 7.565
```

Computed properties:
The formation energy (no corrections) is -126.0 kJ per mole of atoms. The calculation puts the offset from the most stable computed form at 50.9 meV/atom. For the total energy, the calculation gives -3.567 eV/atom.

VASP calculation (PBE-GGA) on an optimized crystal structure of RbInTe2I.

The structure in extended XYZ format:
```
5
Lattice="6.688 0.000 0.000 0.000 6.688 0.000 0.000 0.000 6.734" Properties=species:S:1:pos:R:3 pbc="T T T"
Rb 0.000 0.000 0.000
In 3.344 3.344 3.367
Te 0.000 3.344 0.000
Te 3.344 0.000 0.000
I 0.000 0.000 3.367
```

Computed properties:
The formation energy (no corrections) is 32.9 kJ per mole of atoms. The calculation puts the offset from the most stable computed form at 745.6 meV/atom. For the total energy, the calculation gives -1.966 eV/atom.

VASP calculation (PBE-GGA) on an optimized crystal structure of SnIr5.

The structure in extended XYZ format:
```
6
Lattice="1.971 -5.972 0.000 1.971 5.972 0.000 0.000 0.000 3.928" Properties=species:S:1:pos:R:3 pbc="T T T"
Sn 0.000 0.000 0.000
Ir 1.971 3.910 1.964
Ir 1.971 2.043 0.000
Ir 1.971 0.000 1.964
Ir 1.971 -2.043 0.000
Ir 1.971 -3.910 1.964
```

Computed properties:
For the total energy, the calculation gives -8.005 eV/atom. Its formation energy is 0.046 eV/atom.

VASP calculation (PBE-GGA) on an optimized crystal structure of LiGdTmSc.

The structure in extended XYZ format:
```
4
Lattice="0.000 3.764 3.764 3.764 0.000 3.764 3.764 3.764 0.000" Properties=species:S:1:pos:R:3 pbc="T T T"
Li 0.000 0.000 0.000
Gd 5.645 5.645 5.645
Tm 1.882 1.882 1.882
Sc 3.764 3.764 3.764
```

Computed properties:
For the total energy, the calculation gives -6.543 eV/atom. Its formation energy is 0.157 eV/atom.

VASP calculation (PBE-GGA) on an optimized crystal structure of CaPuSbAu.

The structure in extended XYZ format:
```
4
Lattice="0.000 3.749 3.749 3.749 0.000 3.749 3.749 3.749 0.000" Properties=species:S:1:pos:R:3 pbc="T T T"
Ca 0.000 0.000 0.000
Pu 3.749 3.749 3.749
Sb 5.624 5.624 5.624
Au 1.875 1.875 1.875
```

Computed properties:
The formation energy (no corrections) is -65.4 kJ per mole of atoms. For the total energy, the calculation gives -6.611 eV/atom.

VASP calculation (PBE-GGA) on an optimized crystal structure of KAs2HBr.

The structure in extended XYZ format:
```
5
Lattice="7.602 0.000 0.000 0.000 7.602 0.000 0.000 0.000 6.044" Properties=species:S:1:pos:R:3 pbc="T T T"
K 0.000 0.000 0.000
As 0.000 3.801 0.000
As 3.801 0.000 0.000
H 3.801 3.801 3.022
Br 0.000 0.000 3.022
```

Computed properties:
The calculation puts the offset from the most stable computed form at 1086.6 meV/atom. For the total energy, the calculation gives -2.000 eV/atom.

VASP calculation (PBE-GGA) on an optimized crystal structure of NaHf2Pt2.

The structure in extended XYZ format:
```
10
Lattice="7.921 0.000 0.000 0.000 7.921 0.000 0.000 0.000 3.157" Properties=species:S:1:pos:R:3 pbc="T T T"
Na 0.000 0.000 0.000
Na 3.961 3.961 0.000
Hf 1.246 2.715 1.578
Hf 2.715 6.675 1.578
Hf 5.207 1.246 1.578
Hf 6.675 5.207 1.578
Pt 1.078 5.039 0.000
Pt 2.883 1.078 0.000
Pt 5.039 6.844 0.000
Pt 6.844 2.883 0.000
```

Computed properties:
The calculation puts the offset from the most stable computed form at 0.0 meV/atom. For the total energy, the calculation gives -7.376 eV/atom. Its formation energy is -0.714 eV/atom.

VASP calculation (PBE-GGA) on an optimized crystal structure of Pu6SeN5.

The structure in extended XYZ format:
```
12
Lattice="3.127 -5.429 0.000 3.127 5.429 0.000 -2.132 0.000 5.874" Properties=species:S:1:pos:R:3 pbc="T T T"
Pu 0.891 1.992 1.425
Pu -0.199 0.000 4.566
Pu 0.891 -1.992 1.425
Pu 3.231 1.992 4.450
Pu 4.321 0.000 1.308
Pu 3.231 -1.992 4.450
Se 2.061 0.000 2.937
N 0.000 0.000 0.000
N 2.061 3.574 2.937
N 3.127 1.710 0.000
N 3.127 -1.710 0.000
N 2.061 -3.574 2.937
```

Computed properties:
The formation energy (no corrections) is -113.9 kJ per mole of atoms. For the total energy, the calculation gives -12.106 eV/atom.

VASP calculation (PBE-GGA) on an optimized crystal structure of Dy3HoAg4.

The structure in extended XYZ format:
```
8
Lattice="3.609 0.000 0.000 0.000 5.155 0.000 0.000 0.000 10.307" Properties=species:S:1:pos:R:3 pbc="T T T"
Dy 0.000 0.000 0.000
Dy 0.000 2.578 2.579
Dy 0.000 2.578 7.728
Ho 0.000 0.000 5.154
Ag 1.805 0.000 2.587
Ag 1.805 0.000 7.721
Ag 1.805 2.578 0.000
Ag 1.805 2.578 5.154
```

Computed properties:
For the total energy, the calculation gives -4.046 eV/atom. Its formation energy is -0.322 eV/atom.

VASP calculation (PBE-GGA) on an optimized crystal structure of Bi2Te2I.

The structure in extended XYZ format:
```
10
Lattice="8.912 0.000 0.000 0.000 8.912 0.000 0.000 0.000 4.127" Properties=species:S:1:pos:R:3 pbc="T T T"
Bi 1.477 2.979 0.000
Bi 2.979 7.435 0.000
Bi 5.932 1.477 0.000
Bi 7.435 5.932 0.000
Te 1.282 5.738 2.063
Te 3.174 1.282 2.063
Te 5.738 7.629 2.063
Te 7.629 3.174 2.063
I 0.000 0.000 0.000
I 4.456 4.456 0.000
```

Computed properties:
The formation energy (no corrections) is -8.3 kJ per mole of atoms. The calculation puts the offset from the most stable computed form at 6.4 meV/atom. For the total energy, the calculation gives -3.205 eV/atom.

VASP calculation (PBE-GGA) on an optimized crystal structure of Ac4Sm3UN8.

The structure in extended XYZ format:
```
16
Lattice="3.668 2.118 6.178 -3.668 2.118 6.178 0.000 -4.236 6.178" Properties=species:S:1:pos:R:3 pbc="T T T"
Ac 0.000 0.000 0.000
Ac -1.834 -1.059 6.178
Ac -1.834 1.059 12.355
Ac 0.000 2.118 6.178
Sm -3.668 0.000 9.267
Sm -1.834 1.059 3.089
Sm 1.834 1.059 3.089
U 0.000 0.000 9.267
N 0.000 0.000 4.505
N -1.662 -0.960 10.542
N 0.000 -1.919 7.991
N -1.662 0.960 7.991
N 1.662 -0.960 10.542
N 0.000 1.919 10.542
N 1.662 0.960 7.991
N 0.000 0.000 14.028
```

Computed properties:
The formation energy (no corrections) is -120.7 kJ per mole of atoms. For the total energy, the calculation gives -8.031 eV/atom.

VASP calculation (PBE-GGA) on an optimized crystal structure of CsHg2F6.

The structure in extended XYZ format:
```
9
Lattice="6.236 0.000 0.000 -3.118 5.401 0.000 0.000 0.000 6.073" Properties=species:S:1:pos:R:3 pbc="T T T"
Cs 0.000 0.000 0.000
Hg 0.000 3.601 3.037
Hg 3.118 1.800 3.037
F -1.200 2.079 4.233
F -1.918 3.322 1.840
F 2.401 0.000 4.233
F 1.200 2.079 1.840
F 3.836 0.000 1.840
F 1.918 3.322 4.233
```

Computed properties:
The formation energy (no corrections) is -156.9 kJ per mole of atoms. For the total energy, the calculation gives -3.035 eV/atom.

VASP calculation (PBE-GGA) on an optimized crystal structure of Sm8HoTl2.

The structure in extended XYZ format:
```
11
Lattice="8.734 -2.585 0.000 8.734 2.585 0.000 -3.006 0.000 7.757" Properties=species:S:1:pos:R:3 pbc="T T T"
Sm 0.192 0.000 1.845
Sm 0.414 0.000 5.459
Sm 3.832 0.000 4.294
Sm 6.888 0.000 0.283
Sm 7.574 0.000 7.473
Sm 10.631 0.000 3.462
Sm 14.048 0.000 2.297
Sm 14.270 0.000 5.912
Ho 7.231 0.000 3.878
Tl 3.467 0.000 1.094
Tl 10.996 0.000 6.663
```

Computed properties:
The calculation puts the offset from the most stable computed form at 0.0 meV/atom. For the total energy, the calculation gives -4.380 eV/atom. Its formation energy is -0.102 eV/atom.

VASP calculation (PBE-GGA) on an optimized crystal structure of Ga3Ni2Pt8.

The structure in extended XYZ format:
```
13
Lattice="2.692 1.554 9.147 -2.692 1.554 9.147 0.000 -3.108 9.147" Properties=species:S:1:pos:R:3 pbc="T T T"
Ga 0.000 0.000 0.000
Ga 0.000 0.000 4.012
Ga 0.000 0.000 23.427
Ni 0.000 0.000 8.928
Ni 0.000 0.000 18.511
Pt 0.000 0.000 6.423
Pt 0.000 -1.520 11.125
Pt -1.317 0.760 11.125
Pt -1.317 -0.760 16.314
Pt 1.317 0.760 11.125
Pt 1.317 -0.760 16.314
Pt 0.000 1.520 16.314
Pt 0.000 0.000 21.016
```

Computed properties:
For the total energy, the calculation gives -5.382 eV/atom. Its formation energy is -0.077 eV/atom.

VASP calculation (PBE-GGA) on an optimized crystal structure of ScTi2I2.

The structure in extended XYZ format:
```
10
Lattice="8.003 0.000 0.000 0.000 8.003 0.000 0.000 0.000 3.425" Properties=species:S:1:pos:R:3 pbc="T T T"
Sc 0.000 0.000 0.000
Sc 4.002 4.002 0.000
Ti 1.144 2.857 0.000
Ti 2.857 6.859 0.000
Ti 5.146 1.144 0.000
Ti 6.859 5.146 0.000
I 1.240 5.242 1.713
I 2.761 1.240 1.713
I 5.242 6.763 1.713
I 6.763 2.761 1.713
```

Computed properties:
The formation energy (no corrections) is 30.4 kJ per mole of atoms. The calculation puts the offset from the most stable computed form at 126.2 meV/atom. For the total energy, the calculation gives -4.730 eV/atom.

VASP calculation (PBE-GGA) on an optimized crystal structure of ScIBr3.

The structure in extended XYZ format:
```
10
Lattice="2.630 -8.011 0.000 2.630 8.011 0.000 0.000 0.000 12.386" Properties=species:S:1:pos:R:3 pbc="T T T"
Sc 2.630 7.731 9.289
Sc 2.630 -7.731 3.096
I 2.630 1.786 3.096
I 2.630 -1.786 9.289
Br 1.334 1.889 9.289
Br 1.334 -1.889 3.096
Br 2.630 0.000 0.000
Br 2.630 0.000 6.193
Br 3.925 1.889 9.289
Br 3.925 -1.889 3.096
```

Computed properties:
The formation energy (no corrections) is -54.4 kJ per mole of atoms. The calculation puts the offset from the most stable computed form at 773.9 meV/atom. For the total energy, the calculation gives -3.144 eV/atom.

VASP calculation (PBE-GGA) on an optimized crystal structure of RbSn2Au3.

The structure in extended XYZ format:
```
12
Lattice="8.873 -2.366 0.000 8.873 2.366 0.000 -0.733 0.000 8.124" Properties=species:S:1:pos:R:3 pbc="T T T"
Rb 1.643 0.000 1.335
Rb 15.370 0.000 6.789
Sn 3.402 0.000 5.925
Sn 7.420 0.000 2.084
Sn 9.593 0.000 6.040
Sn 13.611 0.000 2.199
Au 0.871 0.000 4.669
Au 5.093 0.000 0.547
Au 5.409 0.000 4.081
Au 11.604 0.000 4.043
Au 11.920 0.000 7.577
Au 16.141 0.000 3.455
```

Computed properties:
The calculation puts the offset from the most stable computed form at 28.9 meV/atom. For the total energy, the calculation gives -3.362 eV/atom. Its formation energy is -0.228 eV/atom.

VASP calculation (PBE-GGA) on an optimized crystal structure of Cu2Mo.

The structure in extended XYZ format:
```
12
Lattice="5.609 0.000 0.000 0.000 3.493 0.000 0.000 0.000 8.303" Properties=species:S:1:pos:R:3 pbc="T T T"
Cu 0.617 0.873 0.740
Cu 0.735 0.873 6.273
Cu 2.069 2.620 2.121
Cu 2.187 2.620 4.891
Cu 3.422 0.873 3.412
Cu 3.540 0.873 6.182
Cu 4.874 2.620 2.030
Cu 4.992 2.620 7.563
Mo 0.629 0.873 3.529
Mo 2.176 2.620 7.681
Mo 3.433 0.873 0.622
Mo 4.980 2.620 4.774
```

Computed properties:
For the total energy, the calculation gives -6.107 eV/atom. Its formation energy is 0.235 eV/atom.

VASP calculation (PBE-GGA) on an optimized crystal structure of LaHo2Ni9.

The structure in extended XYZ format:
```
24
Lattice="5.012 0.000 0.000 -2.506 4.340 0.000 0.000 0.000 16.209" Properties=species:S:1:pos:R:3 pbc="T T T"
La 0.000 2.893 4.052
La 2.506 1.447 12.157
Ho 0.000 2.893 0.649
Ho 0.000 2.893 7.455
Ho 2.506 1.447 8.754
Ho 2.506 1.447 15.559
Ni 0.000 0.000 0.000
Ni 0.000 0.000 4.052
Ni 0.000 0.000 8.104
Ni 0.000 0.000 12.157
Ni 0.000 1.454 10.118
Ni 0.000 1.454 14.195
Ni -1.247 3.613 10.118
Ni -1.247 3.613 14.195
Ni 0.000 2.893 12.157
Ni 1.259 0.727 2.014
Ni 1.259 0.727 6.091
Ni 1.247 3.613 10.118
Ni 1.247 3.613 14.195
Ni 2.506 1.447 4.052
Ni 3.753 0.727 2.014
Ni 3.753 0.727 6.091
Ni 2.506 2.886 2.014
Ni 2.506 2.886 6.091
```

Computed properties:
For the total energy, the calculation gives -5.908 eV/atom. Its formation energy is -0.399 eV/atom.

VASP calculation (PBE-GGA) on an optimized crystal structure of CdBi2HPt.

The structure in extended XYZ format:
```
5
Lattice="5.669 0.000 0.000 0.000 5.669 0.000 0.000 0.000 3.442" Properties=species:S:1:pos:R:3 pbc="T T T"
Cd 0.000 0.000 0.000
Bi 0.000 2.834 1.721
Bi 2.834 0.000 1.721
H 2.834 2.834 0.000
Pt 2.834 2.834 1.721
```

Computed properties:
For the total energy, the calculation gives -3.612 eV/atom.

VASP calculation (PBE-GGA) on an optimized crystal structure of HfPaSn.

The structure in extended XYZ format:
```
3
Lattice="-1.884 1.884 5.217 1.884 -1.884 5.217 1.884 1.884 -5.217" Properties=species:S:1:pos:R:3 pbc="T T T"
Hf 0.000 0.000 0.000
Pa 0.000 0.000 3.208
Sn 0.000 0.000 6.557
```

Computed properties:
The calculation puts the offset from the most stable computed form at 221.8 meV/atom. For the total energy, the calculation gives -7.814 eV/atom. Its formation energy is 0.003 eV/atom.

VASP calculation (PBE-GGA) on an optimized crystal structure of Tl2MoBr.

The structure in extended XYZ format:
```
4
Lattice="-1.595 2.335 7.823 1.595 -2.335 7.823 1.595 2.335 -7.823" Properties=species:S:1:pos:R:3 pbc="T T T"
Tl 0.000 0.000 0.000
Tl 0.000 2.335 2.428
Mo 0.000 0.000 7.169
Br 1.595 0.000 5.148
```

Computed properties:
The formation energy (no corrections) is 32.9 kJ per mole of atoms. The calculation puts the offset from the most stable computed form at 70.7 meV/atom. For the total energy, the calculation gives -3.968 eV/atom.

VASP calculation (PBE-GGA) on an optimized crystal structure of NiHgBPC.

The structure in extended XYZ format:
```
5
Lattice="3.696 0.000 0.000 0.447 4.454 0.000 1.260 0.182 5.041" Properties=species:S:1:pos:R:3 pbc="T T T"
Ni 0.000 0.000 0.000
Hg 0.890 2.511 1.682
B 3.496 3.513 4.900
P 3.981 1.870 4.034
C 3.059 0.501 4.576
```

Computed properties:
The calculation puts the offset from the most stable computed form at 111.0 meV/atom. For the total energy, the calculation gives -5.093 eV/atom. Its formation energy is 0.386 eV/atom.